(1)
La2Tb12Dy | PBE | optimized geometry

Cell: 6.477 6.477 25.086 Å, 90.00 90.00 90.00°
Atoms (fractional coordinates):
La: 0.250 0.750 0.232
La: 0.250 0.750 0.768
La: 0.750 0.250 0.232
La: 0.750 0.250 0.768
Tb: 0.062 0.562 0.386
Tb: 0.062 0.938 0.614
Tb: 0.082 0.582 0.939
Tb: 0.082 0.918 0.061
Tb: 0.250 0.250 0.160
Tb: 0.250 0.250 0.285
Tb: 0.250 0.250 0.715
Tb: 0.250 0.250 0.840
Tb: 0.418 0.582 0.061
Tb: 0.418 0.918 0.939
Tb: 0.438 0.562 0.614
Tb: 0.438 0.938 0.386
Tb: 0.562 0.062 0.614
Tb: 0.562 0.438 0.386
Tb: 0.582 0.082 0.061
Tb: 0.582 0.418 0.939
Tb: 0.750 0.750 0.160
Tb: 0.750 0.750 0.285
Tb: 0.750 0.750 0.715
Tb: 0.750 0.750 0.840
Tb: 0.918 0.082 0.939
Tb: 0.918 0.418 0.061
Tb: 0.938 0.062 0.386
Tb: 0.938 0.438 0.614
Dy: 0.250 0.750 0.500
Dy: 0.750 0.250 0.500

Summary:
Formation energy   321.0 meV/atom
Total magnetization   0.0 μB per formula unit
N(E_F)   1.49 states/eV/atom
Calculated total energy   -130.4 eV per cell

***

(2)
LaTb2Dy | PBE | optimized geometry

Cell: 5.109 5.109 10.168 Å, 90.00 90.00 90.00°
Atoms (fractional coordinates):
La: 0.000 0.000 0.000
La: 0.500 0.500 0.500
Tb: 0.000 0.500 0.250
Tb: 0.000 0.500 0.750
Tb: 0.500 0.000 0.250
Tb: 0.500 0.000 0.750
Dy: 0.000 0.000 0.500
Dy: 0.500 0.500 0.000

Summary:
Formation energy   34.0 meV/atom
Total magnetization   0.0 μB per formula unit
N(E_F)   1.71 states/eV/atom
Calculated total energy   -37.3 eV per cell

***

(3)
LaTb8Dy2 | PBE | optimized geometry

Cell: 9.384 9.384 9.384 Å, 145.65 128.18 63.65°
Atoms (fractional coordinates):
La: 0.000 0.000 0.000
Tb: 0.154 0.859 0.295
Tb: 0.163 0.663 0.500
Tb: 0.296 0.500 0.796
Tb: 0.435 0.141 0.295
Tb: 0.565 0.859 0.705
Tb: 0.704 0.500 0.204
Tb: 0.837 0.337 0.500
Tb: 0.846 0.141 0.705
Dy: 0.301 0.301 0.000
Dy: 0.699 0.699 0.000

Summary:
Formation energy   117.9 meV/atom
Total magnetization   0.0 μB per formula unit
N(E_F)   1.50 states/eV/atom
Calculated total energy   -49.9 eV per cell

***

(4)
La2Tb2Dy7 | PBE | optimized geometry

Cell: 8.102 8.102 6.133 Å, 106.41 106.41 91.63°
Atoms (fractional coordinates):
La: 0.096 0.096 0.311
La: 0.904 0.904 0.689
Tb: 0.289 0.711 0.000
Tb: 0.711 0.289 0.000
Dy: 0.087 0.565 0.321
Dy: 0.272 0.272 0.926
Dy: 0.435 0.913 0.679
Dy: 0.500 0.500 0.500
Dy: 0.565 0.087 0.321
Dy: 0.728 0.728 0.074
Dy: 0.913 0.435 0.679

Summary:
Formation energy   149.2 meV/atom
Total magnetization   0.0 μB per formula unit
N(E_F)   1.69 states/eV/atom
Calculated total energy   -49.7 eV per cell

***

(5)
La2Tb7Dy3 | PBE | optimized geometry

Cell: 6.382 3.538 17.586 Å, 90.00 96.19 90.00°
Atoms (fractional coordinates):
La: 0.058 0.000 0.172
La: 0.942 0.000 0.828
Tb: 0.000 0.500 0.500
Tb: 0.230 0.000 0.666
Tb: 0.257 0.000 0.999
Tb: 0.276 0.500 0.338
Tb: 0.724 0.500 0.662
Tb: 0.743 0.000 0.001
Tb: 0.770 0.000 0.334
Dy: 0.453 0.500 0.842
Dy: 0.500 0.000 0.500
Dy: 0.547 0.500 0.158

Summary:
Formation energy   78.7 meV/atom
Total magnetization   0.0 μB per formula unit
N(E_F)   1.54 states/eV/atom
Calculated total energy   -55.1 eV per cell

***

(6)
La11Tb9Dy4 | PBE | optimized geometry

Cell: 15.619 15.619 3.708 Å, 90.00 90.00 112.98°
Atoms (fractional coordinates):
La: 0.000 0.000 0.000
La: 0.043 0.404 0.000
La: 0.160 0.840 0.000
La: 0.293 0.293 0.000
La: 0.369 0.631 0.000
La: 0.404 0.043 0.000
La: 0.596 0.957 0.000
La: 0.631 0.369 0.000
La: 0.707 0.707 0.000
La: 0.840 0.160 0.000
La: 0.957 0.596 0.000
Tb: 0.068 0.214 0.500
Tb: 0.166 0.631 0.500
Tb: 0.214 0.068 0.500
Tb: 0.369 0.834 0.500
Tb: 0.500 0.500 0.500
Tb: 0.631 0.166 0.500
Tb: 0.786 0.932 0.500
Tb: 0.834 0.369 0.500
Tb: 0.932 0.786 0.500
Dy: 0.241 0.445 0.500
Dy: 0.445 0.241 0.500
Dy: 0.555 0.759 0.500
Dy: 0.759 0.555 0.500

Summary:
Formation energy   67.4 meV/atom
Total magnetization   0.0 μB per formula unit
N(E_F)   1.47 states/eV/atom
Calculated total energy   -112.7 eV per cell

***

(7)
LaTb2Dy3 | PBE | optimized geometry

Cell: 9.509 9.509 11.635 Å, 90.00 90.00 158.16°
Atoms (fractional coordinates):
La: 0.221 0.779 0.750
La: 0.779 0.221 0.250
Tb: 0.000 0.000 0.000
Tb: 0.000 0.000 0.500
Tb: 0.446 0.554 0.250
Tb: 0.554 0.446 0.750
Dy: 0.109 0.891 0.250
Dy: 0.335 0.665 0.504
Dy: 0.335 0.665 0.996
Dy: 0.665 0.335 0.004
Dy: 0.665 0.335 0.496
Dy: 0.891 0.109 0.750

Summary:
Formation energy   12.1 meV/atom
Total magnetization   0.0 μB per formula unit
N(E_F)   1.02 states/eV/atom
Calculated total energy   -55.8 eV per cell

***

(8)
La2Tb8Dy | PBE | optimized geometry

Cell: 9.266 9.266 5.948 Å, 105.20 105.20 121.34°
Atoms (fractional coordinates):
La: 0.195 0.805 0.000
La: 0.805 0.195 0.000
Tb: 0.076 0.076 0.297
Tb: 0.173 0.401 0.828
Tb: 0.293 0.707 0.500
Tb: 0.401 0.173 0.828
Tb: 0.599 0.827 0.172
Tb: 0.707 0.293 0.500
Tb: 0.827 0.599 0.172
Tb: 0.924 0.924 0.703
Dy: 0.500 0.500 0.500

Summary:
Formation energy   155.8 meV/atom
Total magnetization   0.0 μB per formula unit
N(E_F)   1.36 states/eV/atom
Calculated total energy   -49.8 eV per cell